Record 1
A plane-wave DFT calculation with PBE was carried out for Pm2CoP3Pt4 after structural relaxation.

Geometry as POSCAR:
```
Pm2CoP3Pt4
1.0
4.249 0.000 0.000
0.000 4.249 0.000
0.000 0.000 9.692
Pm Co P Pt
2 1 3 4
Direct
0.000 0.500 0.250 Pm
0.500 0.000 0.750 Pm
0.000 0.000 0.500 Co
0.000 0.500 0.865 P
0.500 0.000 0.135 P
0.500 0.500 0.500 P
0.000 0.000 0.000 Pt
0.000 0.500 0.622 Pt
0.500 0.000 0.378 Pt
0.500 0.500 0.000 Pt
```

Results
As for the energy of formation: -0.85 eV/atom. For the total DFT energy (no corrections), the calculation gives -6.554 eV per atom. Its volume is 17.5 A^3/atom. The magnetization comes out at 1.9 μB/f.u. As for the space group: No. 115.

***

Record 2
A plane-wave DFT calculation with PBE was carried out for LiMgMoH6 after structural relaxation.

Geometry as POSCAR:
```
LiMgMoH6
1.0
4.478 0.000 0.000
-2.239 3.878 0.000
0.000 0.000 8.879
Li Mg Mo H
2 2 2 12
Direct
0.333 0.667 0.250 Li
0.667 0.333 0.750 Li
0.000 0.000 0.000 Mg
0.000 0.000 0.500 Mg
0.333 0.667 0.750 Mo
0.667 0.333 0.250 Mo
0.008 0.504 0.612 H
0.008 0.504 0.888 H
0.496 0.504 0.612 H
0.496 0.504 0.888 H
0.496 0.992 0.612 H
0.496 0.992 0.888 H
0.504 0.008 0.112 H
0.504 0.008 0.388 H
0.504 0.496 0.112 H
0.504 0.496 0.388 H
0.992 0.496 0.112 H
0.992 0.496 0.388 H
```

Results
For the total DFT energy (no corrections), the calculation gives -3.754 eV per atom. Its volume is 8.6 A^3/atom. The magnetization comes out at 0.8 μB/f.u. As for the space group: No. 194.

***

Record 3
A plane-wave DFT calculation with PBE was carried out for Cs2TlSn4Pb3 after structural relaxation.

Geometry as POSCAR:
```
Cs2TlSn4Pb3
1.0
5.319 0.000 0.000
0.000 5.319 0.000
0.000 0.000 13.343
Cs Tl Sn Pb
2 1 4 3
Direct
0.000 0.500 0.249 Cs
0.500 0.000 0.751 Cs
0.500 0.500 0.000 Tl
0.000 0.000 0.500 Sn
0.000 0.500 0.874 Sn
0.500 0.000 0.126 Sn
0.500 0.500 0.500 Sn
0.000 0.000 0.000 Pb
0.000 0.500 0.629 Pb
0.500 0.000 0.371 Pb
```

Results
As for the energy of formation: -0.12 eV/atom. For the total DFT energy (no corrections), the calculation gives -3.237 eV per atom. Its volume is 37.8 A^3/atom. The magnetization comes out at 0.0 μB/f.u. As for the space group: No. 115.

***

Record 4
A plane-wave DFT calculation with PBE was carried out for Mn2CoPt after structural relaxation.

Geometry as POSCAR:
```
Mn2CoPt
1.0
3.643 0.000 0.000
0.000 3.643 0.000
0.000 0.000 7.379
Mn Co Pt
4 2 2
Direct
0.000 0.500 0.250 Mn
0.000 0.500 0.750 Mn
0.500 0.000 0.250 Mn
0.500 0.000 0.750 Mn
0.000 0.000 0.000 Co
0.500 0.500 0.500 Co
0.000 0.000 0.500 Pt
0.500 0.500 0.000 Pt
```

Results
As for the energy of formation: -0.04 eV/atom. For the total DFT energy (no corrections), the calculation gives -7.912 eV per atom. Its volume is 12.2 A^3/atom. The magnetization comes out at 3.3 μB/f.u. As for the space group: No. 139.